Ce2Nd3Ru4: relaxed, PBE.

Energy of formation   -2.21 eV/f.u.
Symmetry   C2/c
Energy relative to the lowest polymorph listed for this composition   63 meV per atom

```
Ce2Nd3Ru4
1.0
7.3716 -4.9861 0.0000
7.3716 4.9861 0.0000
-1.2596 0.0000 5.9634
Ce Nd Ru
4 6 8
direct
0.0910 0.2897 0.4707
0.2897 0.0910 0.9707
0.7103 0.9090 0.0293
0.9090 0.7103 0.5293
0.1292 0.8708 0.2500
0.2924 0.5070 0.8909
0.4930 0.7076 0.6091
0.5070 0.2924 0.3909
0.7076 0.4930 0.1091
0.8708 0.1292 0.7500
0.0654 0.3400 0.9948
0.1781 0.5552 0.3788
0.3400 0.0654 0.4948
0.4448 0.8219 0.1212
0.5552 0.1781 0.8788
0.6600 0.9346 0.5052
0.8219 0.4448 0.6212
0.9346 0.6600 0.0052
```

***

Ce3Nd4Ru2: relaxed, PBE.

Energy of formation   -1.54 eV/f.u.
Symmetry   C2/m

```
Ce3Nd4Ru2
1.0
8.6066 -1.8828 0.0000
8.6066 1.8828 0.0000
-4.0198 0.0000 7.9846
Ce Nd Ru
3 4 2
direct
0.0000 0.0000 0.0000
0.0763 0.0763 0.6864
0.9237 0.9237 0.3136
0.2301 0.2301 0.1470
0.3749 0.3749 0.6177
0.6251 0.6251 0.3823
0.7699 0.7699 0.8530
0.4173 0.4173 0.1027
0.5827 0.5827 0.8973
```

***

CeNd5Ru4: relaxed, PBE.

Energy of formation   -1.85 eV/f.u.
Symmetry   C2/m

```
CeNd5Ru4
1.0
8.3090 -2.2549 0.0000
8.3090 2.2549 0.0000
-1.8531 0.0000 6.9052
Ce Nd Ru
1 5 4
direct
0.0000 0.0000 0.0000
0.0000 0.0000 0.5000
0.3299 0.3299 0.4552
0.3326 0.3326 0.9571
0.6674 0.6674 0.0429
0.6701 0.6701 0.5448
0.1462 0.1462 0.2770
0.4923 0.4923 0.7806
0.5077 0.5077 0.2194
0.8538 0.8538 0.7230
```

***

Ce2Nd3Ru4: relaxed, PBE.

Energy of formation   -2.78 eV/f.u.
Symmetry   C2/m
Energy relative to the lowest polymorph listed for this composition   0 meV per atom

```
Ce2Nd3Ru4
1.0
5.5670 -2.1426 0.0000
5.5670 2.1426 0.0000
-1.7138 0.0000 8.9654
Ce Nd Ru
2 3 4
direct
0.1750 0.1750 0.2841
0.8250 0.8250 0.7159
0.1232 0.1232 0.8874
0.5000 0.5000 0.5000
0.8768 0.8768 0.1126
0.2159 0.2159 0.5979
0.4084 0.4084 0.8687
0.5916 0.5916 0.1313
0.7841 0.7841 0.4021
```

***

Ce3NdRu: relaxed, PBE.

Energy of formation   0.05 eV/f.u.
Symmetry   Pm-3m

```
Ce3NdRu
1.0
5.4096 0.0000 0.0000
0.0000 5.4096 0.0000
0.0000 0.0000 5.4096
Ce Nd Ru
3 1 1
direct
0.0000 0.0000 0.5000
0.0000 0.5000 0.0000
0.5000 0.0000 0.0000
0.5000 0.5000 0.5000
0.0000 0.0000 0.0000
```

***

CeNdRu: relaxed, PBE.

Energy of formation   -0.64 eV/f.u.
Symmetry   P-1
Energy relative to the lowest polymorph listed for this composition   30 meV per atom

```
CeNdRu
1.0
4.5893 0.0000 0.0000
-0.2264 4.6598 0.0000
-0.4521 -0.0719 7.3497
Ce Nd Ru
2 2 2
direct
0.2439 0.2378 0.0161
0.7561 0.7622 0.9839
0.2427 0.7496 0.3803
0.7573 0.2504 0.6197
0.3474 0.7181 0.7728
0.6526 0.2819 0.2272
```

***

Ce2Nd2Ru3: relaxed, PBE.

Energy of formation   -1.75 eV/f.u.
Symmetry   P-1
Energy relative to the lowest polymorph listed for this composition   90 meV per atom

```
Ce2Nd2Ru3
1.0
4.3575 0.0000 0.0000
-2.1576 5.6317 0.0000
-0.0340 -1.1439 7.3209
Ce Nd Ru
2 2 3
direct
0.1323 0.2660 0.4040
0.8677 0.7340 0.5960
0.3696 0.7412 0.1370
0.6304 0.2588 0.8630
0.3113 0.6247 0.7415
0.5000 0.0000 0.5000
0.6887 0.3753 0.2585
```

***

CeNd2Ru: relaxed, PBE.

Energy of formation   -0.99 eV/f.u.
Symmetry   Pnma
Energy relative to the lowest polymorph listed for this composition   0 meV per atom

```
CeNd2Ru
1.0
7.1807 0.0000 0.0000
0.0000 10.0166 0.0000
0.0000 0.0000 6.4644
Ce Nd Ru
4 8 4
direct
0.0532 0.2500 0.1622
0.4468 0.7500 0.6622
0.5532 0.2500 0.3378
0.9468 0.7500 0.8378
0.1705 0.0659 0.6738
0.1705 0.4341 0.6738
0.3295 0.5659 0.1738
0.3295 0.9341 0.1738
0.6705 0.0659 0.8262
0.6705 0.4341 0.8262
0.8295 0.5659 0.3262
0.8295 0.9341 0.3262
0.1383 0.7500 0.5000
0.3617 0.2500 0.0000
0.6383 0.7500 0.0000
0.8617 0.2500 0.5000
```

***

Ce3NdRu3: relaxed, PBE.

Energy of formation   -1.97 eV/f.u.
Symmetry   R-3

```
Ce3NdRu3
1.0
4.4850 2.5894 5.0401
-4.4850 2.5894 5.0401
0.0000 -5.1788 5.0401
Ce Nd Ru
6 2 6
direct
0.1298 0.3616 0.8295
0.1705 0.8702 0.6384
0.3616 0.8295 0.1298
0.6384 0.1705 0.8702
0.8295 0.1298 0.3616
0.8702 0.6384 0.1705
0.3356 0.3356 0.3356
0.6644 0.6644 0.6644
0.0518 0.7097 0.4481
0.2903 0.5519 0.9482
0.4481 0.0518 0.7097
0.5519 0.9482 0.2903
0.7097 0.4481 0.0518
0.9482 0.2903 0.5519
```

***

Ce5Nd5Ru6: relaxed, PBE.

Energy of formation   -4.28 eV/f.u.
Symmetry   Amm2

```
Ce5Nd5Ru6
1.0
6.3373 0.0000 0.0000
0.0000 7.7539 3.9828
0.0000 -7.7539 3.9828
Ce Nd Ru
5 5 6
direct
0.0000 0.0000 0.0000
0.2510 0.6076 0.9592
0.2510 0.9592 0.6076
0.7490 0.6076 0.9592
0.7490 0.9592 0.6076
0.0000 0.2861 0.5238
0.0000 0.5238 0.2861
0.5000 0.0458 0.2788
0.5000 0.2788 0.0458
0.5000 0.5533 0.5533
0.0000 0.2386 0.8505
0.0000 0.7011 0.7011
0.0000 0.8505 0.2386
0.5000 0.3265 0.7230
0.5000 0.7230 0.3265
0.5000 0.8947 0.8947
```

***

Ce2NdRu2: relaxed, PBE.

Energy of formation   -1.11 eV/f.u.
Symmetry   C2/m
Energy relative to the lowest polymorph listed for this composition   0 meV per atom

```
Ce2NdRu2
1.0
5.7513 -2.1588 0.0000
5.7513 2.1588 0.0000
-3.6963 0.0000 9.5102
Ce Nd Ru
4 2 4
direct
0.0346 0.0346 0.2066
0.1666 0.1666 0.5766
0.8334 0.8334 0.4234
0.9654 0.9654 0.7934
0.3022 0.3022 0.1385
0.6978 0.6978 0.8615
0.3878 0.3878 0.8741
0.4365 0.4365 0.6010
0.5635 0.5635 0.3990
0.6122 0.6122 0.1259
```

***

Ce2NdRu2: relaxed, PBE.

Energy of formation   -0.83 eV/f.u.
Symmetry   C2/m
Energy relative to the lowest polymorph listed for this composition   56 meV per atom

```
Ce2NdRu2
1.0
3.3115 -3.0755 0.0000
3.3115 3.0755 0.0000
-2.7568 0.0000 5.8916
Ce Nd Ru
2 1 2
direct
0.2410 0.7590 0.0000
0.7590 0.2410 0.0000
0.0000 0.0000 0.5000
0.4494 0.4494 0.2798
0.5506 0.5506 0.7202
```